1.
Pm2DyCu9 | PBE | optimized geometry

Output
Formation enthalpy at 0 K, meV/atom: -161

Cell lengths 5.184, 5.184, 8.959 Å; angles 73.18, 73.18, 60.00 degrees
Element x y z (fractional)
1 Pm 0.859 0.859 0.422
2 Pm 0.141 0.141 0.578
3 Dy 0.000 0.000 0.000
4 Cu 0.668 0.668 0.996
5 Cu 0.332 0.332 0.004
6 Cu 0.500 0.500 0.500
7 Cu 0.421 0.421 0.241
8 Cu 0.917 0.421 0.241
9 Cu 0.421 0.917 0.241
10 Cu 0.579 0.579 0.759
11 Cu 0.579 0.083 0.759
12 Cu 0.083 0.579 0.759


2.
Mg7Hg2Pb3 | PBE | optimized geometry

Output
Formation enthalpy at 0 K, meV/atom: -2

Cell lengths 4.103, 4.872, 15.577 Å; angles 99.00, 90.00, 90.00 degrees
Element x y z (fractional)
1 Mg 0.000 0.416 0.831
2 Mg 0.000 0.775 0.551
3 Mg 0.000 0.000 0.000
4 Mg 0.000 0.584 0.169
5 Mg 0.500 0.074 0.148
6 Mg 0.500 0.926 0.852
7 Mg 0.000 0.225 0.449
8 Hg 0.000 0.864 0.728
9 Hg 0.000 0.136 0.272
10 Pb 0.500 0.500 0.000
11 Pb 0.500 0.684 0.368
12 Pb 0.500 0.316 0.632


3.
Er2NiBr | PBE | optimized geometry

Output
Energy relative to the elements, uncorrected, kJ/mol of atoms: -77

Cell lengths 3.908, 3.908, 7.881 Å; angles 75.64, 75.64, 60.00 degrees
Element x y z (fractional)
1 Er 0.063 0.063 0.812
2 Er 0.272 0.272 0.183
3 Ni 0.667 0.667 0.998
4 Br 0.498 0.498 0.506


4.
K2LaIrO4 | PBE | optimized geometry

Output
Energy relative to the elements, uncorrected, kJ/mol of atoms: -164

Cell lengths 5.724, 5.724, 5.724 Å; angles 102.15, 113.25, 113.25 degrees
Last column: magnetic moment on the atom in μB.
Element x y z (fractional)
1 K 0.500 0.750 0.250  0.00
2 K 0.000 0.000 0.000  0.00
3 La 0.500 0.250 0.750  0.03
4 Ir 0.000 0.500 0.500  1.24
5 O 0.573 0.266 0.376  0.14
6 O 0.111 0.307 0.734  0.14
7 O 0.889 0.624 0.197  0.14
8 O 0.427 0.803 0.693  0.14


5.
Sm2Ho5 | PBE | optimized geometry

Output
Formation enthalpy at 0 K, meV/atom: 18

Cell lengths 5.024, 6.144, 7.950 Å; angles 97.47, 90.00, 114.13 degrees
Element x y z (fractional)
1 Sm 0.071 0.143 0.215
2 Sm 0.929 0.857 0.785
3 Ho 0.357 0.714 0.071
4 Ho 0.643 0.286 0.929
5 Ho 0.214 0.428 0.643
6 Ho 0.500 0.000 0.500
7 Ho 0.786 0.572 0.357


6.
SnP | PBE | optimized geometry

Output
Formation enthalpy at 0 K, meV/atom: 400

Cell lengths 6.305, 7.861, 5.814 Å; angles 77.44, 57.16, 66.36 degrees
Element x y z (fractional)
1 Sn 0.739 0.000 0.522
2 Sn 0.261 0.000 0.478
3 Sn 0.511 0.500 0.978
4 Sn 0.989 0.500 0.022
5 P 0.076 0.848 0.000
6 P 0.924 0.152 0.000
7 P 0.174 0.652 0.500
8 P 0.326 0.348 0.500


7.
Cs2InAuCl6 | PBE | optimized geometry

Output
Energy relative to the elements, uncorrected, kJ/mol of atoms: -121

Cell lengths 7.529, 7.529, 7.529 Å; angles 60.00, 60.00, 60.00 degrees
Element x y z (fractional)
1 Cs 0.750 0.750 0.750
2 Cs 0.250 0.250 0.250
3 In 0.000 0.000 0.000
4 Au 0.500 0.500 0.500
5 Cl 0.757 0.243 0.243
6 Cl 0.243 0.243 0.757
7 Cl 0.243 0.757 0.757
8 Cl 0.243 0.757 0.243
9 Cl 0.757 0.243 0.757
10 Cl 0.757 0.757 0.243


8.
Nd3Sm6Y | PBE | optimized geometry

Output
Formation enthalpy at 0 K, meV/atom: 264

Cell lengths 7.061, 12.967, 10.109 Å; angles 148.89, 110.44, 90.00 degrees
Element x y z (fractional)
1 Nd 0.696 0.232 0.392
2 Nd 0.304 0.768 0.608
3 Nd 0.000 0.000 0.000
4 Sm 0.327 0.300 0.111
5 Sm 0.216 0.700 0.889
6 Sm 0.673 0.700 0.889
7 Sm 0.784 0.300 0.111
8 Sm 0.170 0.833 0.340
9 Sm 0.830 0.167 0.660
10 Y 0.500 0.500 0.000